# TlCrP2 PBE-GGA relaxed
data_TlCrP2
_chemical_formula_sum 'Tl3 Cr3 P6'
_space_group_name_H-M_alt 'R -3 m'
_space_group_IT_number 166
_space_group_name_Hall '-R 3 2"'
_cell_length_a 3.1401
_cell_length_b 3.1401
_cell_length_c 25.5077
_cell_angle_alpha 90.00
_cell_angle_beta 90.00
_cell_angle_gamma 120.00
loop_
_atom_site_label
_atom_site_type_symbol
_atom_site_fract_x
_atom_site_fract_y
_atom_site_fract_z
Tl1 Tl 0.0000 0.0000 0.0000
Cr1 Cr 0.0000 0.0000 0.5000
P1 P 0.0000 0.0000 0.2248
# ΔE to the lowest computed polymorph in meV/atom: 10
# Energy of formation from the pure elements in eV/atom: 0.029
# N(E_F) in states/eV/f.u.: 2.30